(1)
Here is Mg2NbMoS after structural relaxation from Alexandria via LeMat-Bulk. Energies are from PBE.

extended XYZ file:
```
5
Lattice="-1.007 4.366 -2.951 0.655 -2.437 -3.830 -5.214 -1.262 -0.089" Properties=species:S:1:pos:R:3 pbc="T T T"
Mg -0.503 2.183 -1.475
Mo 0.327 -1.219 -1.915
Nb 0.000 0.000 0.000
S -2.783 0.334 -3.435
Mg -2.607 -0.631 -0.044
```

Computed properties:
Spin magnetization ... 0.0 μB per formula unit
Space-group type ... P4/mmm (123)
Formation energy without anion corrections ... 1.346 eV/atom



(2)
Here is La4Hg2Ir after structural relaxation from Alexandria via LeMat-Bulk. Energies are from PBE.

extended XYZ file:
```
7
Lattice="5.576 0.000 0.000 0.000 5.576 0.000 -2.788 -2.788 7.805" Properties=species:S:1:pos:R:3 pbc="T T T"
La 0.000 2.788 0.000
La 2.788 0.000 0.000
Hg 2.788 2.788 1.831
La 2.788 2.788 4.917
La 0.000 0.000 2.888
Ir 0.000 0.000 0.000
Hg 0.000 0.000 5.974
```

Computed properties:
Formation energy ... -2.9 eV/f.u.
E above lowest polymorph ... 119 meV per atom
Spin magnetization ... 0.0 μB per formula unit
Space-group type ... I4/mmm (139)



(3)
Here is Ga2AgOs after structural relaxation from Alexandria via LeMat-Bulk. Energies are from PBE.

extended XYZ file:
```
4
Lattice="-0.417 -2.699 0.264 0.214 -1.642 -2.188 10.136 -2.826 1.392" Properties=species:S:1:pos:R:3 pbc="T T T"
Os 0.000 0.000 0.000
Ga 2.345 -4.685 -1.416
Ga 7.587 -2.482 0.884
Ag 4.966 -3.583 -0.266
```

Computed properties:
Formation energy ... 1.5 eV/f.u.
E above lowest polymorph ... 316 meV per atom
Spin magnetization ... 0.0 μB per formula unit
Space-group type ... R-3m (166)



(4)
Here is Cd2TcP after structural relaxation from Alexandria via LeMat-Bulk. Energies are from PBE.

extended XYZ file:
```
4
Lattice="0.000 3.272 3.272 3.272 0.000 3.272 3.272 3.272 0.000" Properties=species:S:1:pos:R:3 pbc="T T T"
Tc 1.636 1.636 1.636
Cd 4.909 4.909 4.909
P 3.272 3.272 3.272
Cd 0.000 0.000 0.000
```

Computed properties:
Formation energy ... 2.4 eV/f.u.
Spin magnetization ... 0.0 μB per formula unit
Space-group type ... F-43m (216)



(5)
Here is RuPt4Rh after structural relaxation from Alexandria via LeMat-Bulk. Energies are from PBE.

extended XYZ file:
```
6
Lattice="-0.951 2.603 4.403 -3.317 -1.943 3.506 1.781 -1.823 4.536" Properties=species:S:1:pos:R:3 pbc="T T T"
Ru 0.000 0.000 0.000
Pt -1.408 0.864 6.868
Rh -1.865 -0.872 9.334
Pt -2.590 -1.406 6.420
Pt -0.043 -1.346 6.934
Pt -0.933 -0.436 4.669
```

Computed properties:
Formation energy ... 2.4 eV/f.u.
E above lowest polymorph ... 408 meV per atom
Spin magnetization ... 4.6 μB per formula unit
Space-group type ... F-43m (216)



(6)
Here is HgBiSe2 after structural relaxation from Alexandria via LeMat-Bulk. Energies are from PBE.

extended XYZ file:
```
8
Lattice="-3.567 -1.651 4.741 4.570 -3.474 2.229 3.014 3.255 7.400" Properties=species:S:1:pos:R:3 pbc="T T T"
Se 3.107 -2.019 11.633
Bi 0.000 0.000 0.000
Se 3.139 -1.575 3.869
Se 2.669 0.495 8.179
Se -0.880 -0.641 5.059
Bi -0.025 -0.479 7.813
Hg 0.502 -2.562 3.485
Hg 4.043 -1.391 6.557
```

Computed properties:
E above lowest polymorph ... 111 meV per atom
Spin magnetization ... 0.0 μB per formula unit
Space-group type ... I-42d (122)
Formation energy without anion corrections ... -0.072 eV/atom



(7)
Here is CoBiP2 after structural relaxation from Alexandria via LeMat-Bulk. Energies are from PBE.

extended XYZ file:
```
8
Lattice="-0.371 -2.369 -5.138 -0.475 -5.118 2.394 -5.785 -3.185 -1.242" Properties=species:S:1:pos:R:3 pbc="T T T"
P -1.825 -4.516 0.055
P -1.702 -2.691 -2.734
Bi 0.000 0.000 0.000
Co -0.423 -3.743 -1.372
Co -3.341 -6.023 -0.110
P -5.034 -8.453 -3.560
P -4.701 -5.683 -1.733
Bi -3.290 -4.649 -3.876
```

Computed properties:
Formation energy ... 0.1 eV/f.u.
Spin magnetization ... 0.0 μB per formula unit
Space-group type ... I-42d (122)



(8)
Here is PrScPdPb after structural relaxation from Alexandria via LeMat-Bulk. Energies are from PBE.

extended XYZ file:
```
4
Lattice="5.192 0.000 0.000 2.596 4.496 0.000 2.596 1.499 4.239" Properties=species:S:1:pos:R:3 pbc="T T T"
Pd 2.596 1.499 1.060
Pr 5.192 2.998 2.120
Sc 0.000 0.000 0.000
Pb 7.788 4.496 3.179
```

Computed properties:
Formation energy ... -2.1 eV/f.u.
Spin magnetization ... 0.0 μB per formula unit
Space-group type ... F-43m (216)



(9)
Here is Ho3BiPbS after structural relaxation from Alexandria via LeMat-Bulk. Energies are from PBE.

extended XYZ file:
```
12
Lattice="4.409 0.000 0.000 0.000 8.918 1.150 0.000 -2.252 9.449" Properties=species:S:1:pos:R:3 pbc="T T T"
Ho 3.307 0.470 4.514
Bi 1.102 5.203 2.595
Ho 1.102 6.196 6.085
S 1.102 -0.227 5.731
Ho 1.102 -0.920 8.306
Bi 3.307 1.464 8.003
Pb 3.307 5.739 8.552
S 3.307 6.893 4.868
Ho 3.307 7.586 2.293
Ho 1.102 3.517 8.989
Ho 3.307 3.150 1.609
Pb 1.102 0.927 2.047
```

Computed properties:
Spin magnetization ... 0.0 μB per formula unit
Space-group type ... P2_1/m (11)
Formation energy without anion corrections ... -0.880 eV/atom



(10)
Here is K3LiMn2Br9 after structural relaxation from Alexandria via LeMat-Bulk. Energies are from PBE.

extended XYZ file:
```
15
Lattice="-3.965 4.468 4.486 2.786 -6.413 2.630 7.716 4.365 2.473" Properties=species:S:1:pos:R:3 pbc="T T T"
Br -0.590 -0.973 3.558
K 0.946 2.346 4.720
Mn 4.664 4.450 5.912
Br 1.393 -3.207 1.315
Br 2.203 -0.951 5.959
K 5.590 0.073 4.868
Br 3.753 2.412 7.135
Br 2.380 5.572 5.840
Li 3.858 2.183 1.236
Br 4.156 -3.152 3.749
Br -1.983 2.234 2.243
Br 4.334 3.371 3.630
Mn 1.872 -2.030 3.677
K 0.000 0.000 0.000
Br 2.784 0.008 2.453
```

Computed properties:
Spin magnetization ... 9.0 μB per formula unit
Space-group type ... P-3m1 (164)
Formation energy without anion corrections ... -1.216 eV/atom



(11)
Here is NaCa2TcC after structural relaxation from Alexandria via LeMat-Bulk. Energies are from PBE.

extended XYZ file:
```
5
Lattice="5.718 0.000 0.000 0.000 3.988 0.000 0.000 0.000 5.718" Properties=species:S:1:pos:R:3 pbc="T T T"
Tc 0.000 0.000 0.000
C 0.000 1.994 0.000
Ca 0.000 0.000 2.859
Ca 2.859 0.000 0.000
Na 2.859 1.994 2.859
```

Computed properties:
Formation energy ... 3.3 eV/f.u.
Spin magnetization ... 0.0 μB per formula unit
Space-group type ... P4/mmm (123)



(12)
Here is PrSi3Ru5 after structural relaxation from Alexandria via LeMat-Bulk. Energies are from PBE.

extended XYZ file:
```
18
Lattice="4.052 0.000 0.000 -2.026 6.393 0.000 0.000 0.000 11.502" Properties=species:S:1:pos:R:3 pbc="T T T"
Si 2.026 1.606 5.249
Ru 0.000 5.846 4.098
Si 2.026 4.932 2.875
Ru 2.026 3.917 0.727
Si 0.000 4.787 10.999
Ru 2.026 0.547 9.849
Si 0.000 4.787 6.253
Ru 0.000 0.000 0.000
Ru 0.000 2.476 6.478
Si 2.026 1.606 0.502
Ru 2.026 0.547 7.403
Si 0.000 1.461 8.626
Ru 2.026 3.917 5.024
Pr 0.000 2.305 2.875
Ru 0.000 2.476 10.775
Ru 0.000 0.000 5.751
Ru 0.000 5.846 1.653
Pr 2.026 4.088 8.626
```

Computed properties:
Spin magnetization ... 0.0 μB per formula unit
Space-group type ... Cmcm (63)
Formation energy without anion corrections ... -0.466 eV/atom